DFT (PBE) results for a relaxed Ac3AlZn3 crystal.

The density of states at the Fermi level is 13.8 states/eV per cell. The total energy is -2.833 eV per atom. The energy of formation is 0.009 eV per atom.

Cell lengths 6.0809, 9.4022, 9.4022 Å; angles 120.00, 90.00, 90.00 degrees
Closest atoms and distances in Å follow each position.
Fractional coordinates of all 14 atoms:
Ac 0.7500 0.7269 0.6685  5 Zn 3.12-3.36
Ac 0.7500 0.3315 0.0584  5 Zn 3.12-3.36
Ac 0.7500 0.9416 0.2731  5 Zn 3.12-3.36
Ac 0.2500 0.2731 0.3315  5 Zn 3.12-3.36
Ac 0.2500 0.6685 0.9416  5 Zn 3.12-3.36
Ac 0.2500 0.0584 0.7269  5 Zn 3.12-3.36
Al 0.2500 0.6667 0.3333  3 Zn 2.52
Al 0.7500 0.3333 0.6667  3 Zn 2.52
Zn 0.2500 0.6534 0.5946  1 Al 2.52
Zn 0.2500 0.4054 0.0588  1 Al 2.52
Zn 0.2500 0.9412 0.3466  1 Al 2.52
Zn 0.7500 0.3466 0.4054  1 Al 2.52
Zn 0.7500 0.5946 0.9412  1 Al 2.52
Zn 0.7500 0.0588 0.6534  1 Al 2.52

=====

DFT (PBE) results for a relaxed AcZrAl crystal.

The density of states at the Fermi level is 7.8 states/eV per cell. The total energy is -5.650 eV per atom. The energy of formation is -0.183 eV per atom.

Cell lengths 3.7793, 5.3560, 12.8393 Å; angles 114.58, 107.06, 45.17 degrees
Closest atoms and distances in Å follow each position.
Fractional coordinates of all 6 atoms:
Ac 0.6902 0.4396 0.0811  1 Zr 3.39, 4 Al 3.45-3.46, 4 Ac 3.78-3.80
Ac 0.6891 0.2112 0.3521  1 Zr 3.40, 4 Al 3.45-3.46, 4 Ac 3.78-3.80
Al 0.6900 0.8968 0.5390  5 Zr 2.93-2.94
Al 0.6893 0.7540 0.8942  5 Zr 2.93-2.94
Zr 0.6901 0.5004 0.6429  5 Al 2.93-2.94, 4 Zr 3.17-3.19
Zr 0.6891 0.1504 0.7903  5 Al 2.93-2.94, 4 Zr 3.17-3.19

=====

DFT (PBE) results for a relaxed AcZrAl2 crystal.

The density of states at the Fermi level is 3.1 states/eV per cell. The total energy is -4.989 eV per atom. The energy of formation is 0.047 eV per atom.

Cell lengths 3.6676, 3.6676, 9.2797 Å; angles 78.60, 78.60, 60.00 degrees
Closest atoms and distances in Å follow each position.
Fractional coordinates of all 4 atoms:
Ac 0.5000 0.5000 0.5000  6 Al 3.31, 6 Ac 3.67
Al 0.7393 0.7393 0.7820  3 Zr 2.89
Al 0.2607 0.2607 0.2180  3 Zr 2.89
Zr 0.0000 0.0000 0.0000  6 Al 2.89

=====

DFT (PBE) results for a relaxed AcZr2Al crystal.

The density of states at the Fermi level is 6.4 states/eV per cell. The total energy is -5.906 eV per atom. The energy of formation is 0.331 eV per atom.

Cell lengths 3.3167, 3.3167, 11.1343 Å; angles 81.43, 81.43, 60.00 degrees
Closest atoms and distances in Å follow each position.
Fractional coordinates of all 4 atoms:
Ac 0.0000 0.0000 0.0000  2 Zr 3.24, 6 Ac 3.32
Al 0.5000 0.5000 0.5000  6 Zr 2.95
Zr 0.0985 0.0985 0.7044  3 Al 2.95, 1 Ac 3.24
Zr 0.9015 0.9015 0.2956  3 Al 2.95, 1 Ac 3.24

=====

DFT (PBE) results for a relaxed AcZrAl4 crystal.

The density of states at the Fermi level is 3.2 states/eV per cell. The total energy is -4.908 eV per atom. The energy of formation is -0.303 eV per atom.

Cell lengths 5.6449, 5.6449, 5.6449 Å; angles 60.00, 60.00, 60.00 degrees
Closest atoms and distances in Å follow each position.
Fractional coordinates of all 6 atoms:
Ac 0.2500 0.2500 0.2500  12 Al 3.31, 4 Zr 3.46
Al 0.6254 0.6254 0.1239  6 Al 2.81-2.83
Al 0.6254 0.1239 0.6254  6 Al 2.81-2.83
Al 0.6254 0.6254 0.6254  6 Al 2.81-2.83
Al 0.1239 0.6254 0.6254  6 Al 2.81-2.83
Zr 0.0000 0.0000 0.0000  12 Al 3.31, 4 Ac 3.46

=====

DFT (PBE) results for a relaxed AcZrAl2 crystal.

The density of states at the Fermi level is 4.8 states/eV per cell. The total energy is -5.280 eV per atom. The energy of formation is -0.244 eV per atom.

Cell lengths 3.7386, 3.7386, 7.0907 Å; angles 90.00, 90.00, 90.00 degrees
Closest atoms and distances in Å follow each position.
Fractional coordinates of all 4 atoms:
Ac 0.5000 0.5000 0.5000  8 Al 3.44, 2 Zr 3.55, 4 Ac 3.74
Al 0.0000 0.0000 0.8110  1 Al 2.68, 4 Zr 2.96
Al 0.0000 0.0000 0.1890  1 Al 2.68, 4 Zr 2.96
Zr 0.5000 0.5000 0.0000  8 Al 2.96

=====

DFT (PBE) results for a relaxed Ac3As crystal.

The density of states at the Fermi level is 2.7 states/eV per cell. The total energy is -4.574 eV per atom. The energy of formation is -0.330 eV per atom.

Cell lengths 5.1668, 5.1668, 5.1668 Å; angles 90.00, 90.00, 90.00 degrees
Closest atoms and distances in Å follow each position.
Fractional coordinates of all 4 atoms:
Ac 0.0000 0.5000 0.5000  8 Ac 3.65, 4 As 3.65
Ac 0.5000 0.0000 0.5000  8 Ac 3.65, 4 As 3.65
Ac 0.5000 0.5000 0.0000  8 Ac 3.65, 4 As 3.65
As 0.0000 0.0000 0.0000  12 Ac 3.65

=====

DFT (PBE) results for a relaxed AcAs2 crystal.

The density of states at the Fermi level is 5.0 states/eV per cell. The total energy is -5.376 eV per atom. The energy of formation is -0.906 eV per atom.

Cell lengths 4.3219, 6.8016, 10.9992 Å; angles 90.00, 90.01, 90.00 degrees
Closest atoms and distances in Å follow each position.
Fractional coordinates of all 12 atoms:
Ac 0.7497 0.1677 0.6337  9 As 3.24-3.35
Ac 0.7503 0.6677 0.8663  9 As 3.24-3.35
Ac 0.2503 0.8323 0.3663  9 As 3.24-3.35
Ac 0.2497 0.3323 0.1337  9 As 3.24-3.35
As 0.2499 0.8142 0.6608  2 As 2.72
As 0.2501 0.3142 0.8392  2 As 2.72
As 0.7501 0.1858 0.3392  2 As 2.72
As 0.7499 0.6858 0.1608  2 As 2.72
As 0.7497 0.1306 0.9378  2 As 2.72
As 0.7503 0.6306 0.5622  2 As 2.72
As 0.2503 0.8694 0.0622  2 As 2.72
As 0.2497 0.3694 0.4378  2 As 2.72

=====

DFT (PBE) results for a relaxed AcAs5 crystal.

The density of states at the Fermi level is 3.4 states/eV per cell. The total energy is -4.858 eV per atom. The energy of formation is -0.299 eV per atom.

Cell lengths 3.9477, 5.2201, 7.2133 Å; angles 111.21, 90.00, 90.00 degrees
Closest atoms and distances in Å follow each position.
Fractional coordinates of all 6 atoms:
Ac 0.0000 0.0000 0.0000  12 As 3.27-3.54
As 0.0000 0.6493 0.2985  4 As 2.66-2.82
As 0.0000 0.3507 0.7015  4 As 2.66-2.82
As 0.5000 0.5000 0.0000  4 As 2.82
As 0.5000 0.2182 0.4365  4 As 2.66-2.75
As 0.5000 0.7818 0.5635  4 As 2.66-2.75

=====

DFT (PBE) results for a relaxed AcAs3 crystal.

The density of states at the Fermi level is 1.9 states/eV per cell. The total energy is -5.076 eV per atom. The energy of formation is -0.561 eV per atom.

Cell lengths 4.5276, 5.0626, 5.9516 Å; angles 115.17, 112.36, 90.00 degrees
Closest atoms and distances in Å follow each position.
Fractional coordinates of all 4 atoms:
Ac 0.0000 0.0333 0.0000  10 As 3.19-3.45
As 0.3014 0.6090 0.6028  1 As 2.43
As 0.5000 0.5182 0.0000  2 As 2.43
As 0.6986 0.0062 0.3972  1 As 2.43